1.
First-principles (PBE-GGA) data for an optimized crystal structure of InBi3As, as listed in Alexandria.

Crystal system ... cubic
Polymorph energy (0 for the lowest one) ... 485 meV/atom
Volume ... 185.1 Å³/cell
DOS at the Fermi energy ... 1.58 states/eV/atom
M_tot ... 0.00 Bohr magnetons per cell
Raw total energy ... -2.8666 eV per atom
Energy of formation from the pure elements ... 21.67 kcal/mol of atoms
Space group ... Pm-3m (221)

a b c (Å): 5.6991 5.6991 5.6991
angles (deg): 90.00 90.00 90.00
Sites, in units of the cell vectors:
In: 0.0000 0.0000 0.0000
Bi: 0.0000 0.0000 0.5000
Bi: 0.0000 0.5000 0.0000
Bi: 0.5000 0.0000 0.0000
As: 0.5000 0.5000 0.5000

2.
First-principles (PBE-GGA) data for an optimized crystal structure of In12Bi3As5, as listed in Alexandria.

Crystal system ... cubic
Volume ... 2594.0 Å³/cell
DOS at the Fermi energy ... 0.43 states/eV/atom
M_tot ... 0.00 Bohr magnetons per cell
Raw total energy ... -3.3399 eV per atom
Energy of formation from the pure elements ... 1.10 kcal/mol of atoms
Space group ... Ia-3d (230)

a b c (Å): 14.9921 14.9921 14.9921
angles (deg): 109.47 109.47 109.47
Sites, in units of the cell vectors:
In: 0.0460 0.2184 0.1312
In: 0.0460 0.3276 0.9148
In: 0.0852 0.6312 0.4128
In: 0.0852 0.9540 0.6724
In: 0.0872 0.7184 0.6724
In: 0.0872 0.8688 0.4148
In: 0.1312 0.0460 0.2184
In: 0.1312 0.5852 0.9128
In: 0.1724 0.2184 0.5872
In: 0.1724 0.4540 0.5852
In: 0.2184 0.1312 0.0460
In: 0.2184 0.5872 0.1724
In: 0.2816 0.3276 0.9128
In: 0.2816 0.4540 0.3688
In: 0.3276 0.9128 0.2816
In: 0.3276 0.9148 0.0460
In: 0.3688 0.2816 0.4540
In: 0.3688 0.5872 0.9148
In: 0.4128 0.0852 0.6312
In: 0.4128 0.8276 0.7816
In: 0.4148 0.0872 0.8688
In: 0.4148 0.8276 0.5460
In: 0.4540 0.3688 0.2816
In: 0.4540 0.5852 0.1724
In: 0.5460 0.4148 0.8276
In: 0.5460 0.6312 0.7184
In: 0.5852 0.1724 0.4540
In: 0.5852 0.9128 0.1312
In: 0.5872 0.1724 0.2184
In: 0.5872 0.9148 0.3688
In: 0.6312 0.4128 0.0852
In: 0.6312 0.7184 0.5460
In: 0.6724 0.0852 0.9540
In: 0.6724 0.0872 0.7184
In: 0.7184 0.5460 0.6312
In: 0.7184 0.6724 0.0872
In: 0.7816 0.4128 0.8276
In: 0.7816 0.8688 0.9540
In: 0.8276 0.5460 0.4148
In: 0.8276 0.7816 0.4128
In: 0.8688 0.4148 0.0872
In: 0.8688 0.9540 0.7816
In: 0.9128 0.1312 0.5852
In: 0.9128 0.2816 0.3276
In: 0.9148 0.0460 0.3276
In: 0.9148 0.3688 0.5872
In: 0.9540 0.6724 0.0852
In: 0.9540 0.7816 0.8688
Bi: 0.1250 0.2500 0.3750
Bi: 0.1250 0.3750 0.7500
Bi: 0.2500 0.3750 0.1250
Bi: 0.2500 0.8750 0.6250
Bi: 0.3750 0.1250 0.2500
Bi: 0.3750 0.7500 0.1250
Bi: 0.6250 0.2500 0.8750
Bi: 0.6250 0.8750 0.7500
Bi: 0.7500 0.1250 0.3750
Bi: 0.7500 0.6250 0.8750
Bi: 0.8750 0.6250 0.2500
Bi: 0.8750 0.7500 0.6250
As: 0.0000 0.0000 0.0000
As: 0.0000 0.0000 0.5000
As: 0.0000 0.5000 0.0000
As: 0.0000 0.5000 0.5000
As: 0.1250 0.7500 0.8750
As: 0.1250 0.8750 0.2500
As: 0.2500 0.1250 0.8750
As: 0.2500 0.6250 0.3750
As: 0.3750 0.2500 0.6250
As: 0.3750 0.6250 0.7500
As: 0.5000 0.0000 0.0000
As: 0.5000 0.0000 0.5000
As: 0.5000 0.5000 0.0000
As: 0.5000 0.5000 0.5000
As: 0.6250 0.3750 0.2500
As: 0.6250 0.7500 0.3750
As: 0.7500 0.3750 0.6250
As: 0.7500 0.8750 0.1250
As: 0.8750 0.1250 0.7500
As: 0.8750 0.2500 0.1250

3.
First-principles (PBE-GGA) data for an optimized crystal structure of InBiAs2, as listed in Alexandria.

Crystal system ... cubic
Polymorph energy (0 for the lowest one) ... 231 meV/atom
Volume ... 95.9 Å³/cell
DOS at the Fermi energy ... 0.60 states/eV/atom
M_tot ... 0.00 Bohr magnetons per cell
Raw total energy ... -3.7613 eV per atom
Energy of formation from the pure elements ... 5.04 kcal/mol of atoms
Space group ... Fm-3m (225)

a b c (Å): 5.1376 5.1376 5.1376
angles (deg): 60.00 60.00 60.00
Sites, in units of the cell vectors:
In: 0.0000 0.0000 0.0000
Bi: 0.5000 0.5000 0.5000
As: 0.2500 0.2500 0.2500
As: 0.7500 0.7500 0.7500

4.
First-principles (PBE-GGA) data for an optimized crystal structure of InBi2As2, as listed in Alexandria.

Crystal system ... tetragonal
Polymorph energy (0 for the lowest one) ... 2 meV/atom
Volume ... 267.0 Å³/cell
DOS at the Fermi energy ... 0.40 states/eV/atom
M_tot ... 0.00 Bohr magnetons per cell
Raw total energy ... -3.8303 eV per atom
Energy of formation from the pure elements ... 2.99 kcal/mol of atoms
Space group ... P4/mbm (127)

a b c (Å): 8.1623 8.1623 4.0081
angles (deg): 90.00 90.00 90.00
Sites, in units of the cell vectors:
In: 0.0000 0.0000 0.0000
In: 0.5000 0.5000 0.0000
Bi: 0.1528 0.3472 0.5000
Bi: 0.3472 0.8472 0.5000
Bi: 0.6528 0.1528 0.5000
Bi: 0.8472 0.6528 0.5000
As: 0.1560 0.6560 0.0000
As: 0.3440 0.1560 0.0000
As: 0.6560 0.8440 0.0000
As: 0.8440 0.3440 0.0000

5.
First-principles (PBE-GGA) data for an optimized crystal structure of InBi2AsIr, as listed in Alexandria.

Crystal system ... tetragonal
Volume ... 155.5 Å³/cell
DOS at the Fermi energy ... 0.94 states/eV/atom
M_tot ... 0.02 Bohr magnetons per cell
Raw total energy ... -3.5140 eV per atom
Energy of formation from the pure elements ... 29.71 kcal/mol of atoms
Space group ... P4/mmm (123)

a b c (Å): 5.6001 5.6001 4.9576
angles (deg): 90.00 90.00 90.00
Sites, in units of the cell vectors:
In: 0.0000 0.0000 0.0000
Bi: 0.0000 0.5000 0.0000
Bi: 0.5000 0.0000 0.0000
As: 0.5000 0.5000 0.5000
Ir: 0.0000 0.0000 0.5000

6.
First-principles (PBE-GGA) data for an optimized crystal structure of InNiBi2As, as listed in Alexandria.

Crystal system ... tetragonal
Volume ... 161.5 Å³/cell
DOS at the Fermi energy ... 1.14 states/eV/atom
M_tot ... 0.71 Bohr magnetons per cell
Raw total energy ... -3.2400 eV per atom
Energy of formation from the pure elements ... 21.82 kcal/mol of atoms
Space group ... P4/mmm (123)

a b c (Å): 5.6240 5.6240 5.1067
angles (deg): 90.00 90.00 90.00
Sites, in units of the cell vectors:
In: 0.0000 0.0000 0.0000
Ni: 0.5000 0.5000 0.0000
Bi: 0.0000 0.5000 0.5000
Bi: 0.5000 0.0000 0.5000
As: 0.0000 0.0000 0.5000

7.
First-principles (PBE-GGA) data for an optimized crystal structure of InBiAs2O8, as listed in Alexandria.

Crystal system ... trigonal
Volume ... 183.2 Å³/cell
DOS at the Fermi energy ... 0.00 states/eV/atom
M_tot ... 0.00 Bohr magnetons per cell
Raw total energy ... -5.8646 eV per atom
Raw formation energy ... -1233 meV per atom
Space group ... P-3m1 (164)

a b c (Å): 5.5197 5.5197 6.9424
angles (deg): 90.00 90.00 120.00
Sites, in units of the cell vectors:
In: 0.0000 0.0000 0.0000
Bi: 0.0000 0.0000 0.5000
As: 0.3333 0.6667 0.7047
As: 0.6667 0.3333 0.2953
O: 0.1616 0.3231 0.7824
O: 0.1616 0.8384 0.7824
O: 0.3231 0.1616 0.2176
O: 0.3333 0.6667 0.4626
O: 0.6667 0.3333 0.5374
O: 0.6769 0.8384 0.7824
O: 0.8384 0.1616 0.2176
O: 0.8384 0.6769 0.2176

8.
First-principles (PBE-GGA) data for an optimized crystal structure of InBi2As2Pd7, as listed in Alexandria.

Crystal system ... monoclinic
Volume ... 232.4 Å³/cell
DOS at the Fermi energy ... 0.32 states/eV/atom
M_tot ... 0.00 Bohr magnetons per cell
Raw total energy ... -5.0218 eV per atom
Energy of formation from the pure elements ... -7.90 kcal/mol of atoms
Space group ... C2/m (12)

a b c (Å): 4.0561 4.0561 14.2281
angles (deg): 94.90 94.90 89.67
Sites, in units of the cell vectors:
In: 0.0000 0.0000 0.0000
Bi: 0.1262 0.1262 0.3875
Bi: 0.8738 0.8738 0.6125
As: 0.4248 0.4248 0.7524
As: 0.5752 0.5752 0.2476
Pd: 0.0442 0.5439 0.1452
Pd: 0.3508 0.3508 0.5731
Pd: 0.4561 0.9558 0.8548
Pd: 0.5000 0.5000 0.0000
Pd: 0.5439 0.0442 0.1452
Pd: 0.6492 0.6492 0.4269
Pd: 0.9558 0.4561 0.8548

9.
First-principles (PBE-GGA) data for an optimized crystal structure of InBi2AsPd, as listed in Alexandria.

Crystal system ... tetragonal
Volume ... 147.6 Å³/cell
DOS at the Fermi energy ... 0.52 states/eV/atom
M_tot ... 0.00 Bohr magnetons per cell
Raw total energy ... -3.7948 eV per atom
Energy of formation from the pure elements ... 6.31 kcal/mol of atoms
Space group ... P4/mmm (123)

a b c (Å): 5.3856 5.3856 5.0874
angles (deg): 90.00 90.00 90.00
Sites, in units of the cell vectors:
In: 0.0000 0.0000 0.0000
Bi: 0.0000 0.5000 0.5000
Bi: 0.5000 0.0000 0.5000
As: 0.5000 0.5000 0.0000
Pd: 0.0000 0.0000 0.5000

10.
First-principles (PBE-GGA) data for an optimized crystal structure of RbInBi2As, as listed in Alexandria.

Crystal system ... tetragonal
Volume ... 190.5 Å³/cell
DOS at the Fermi energy ... 1.69 states/eV/atom
M_tot ... 0.00 Bohr magnetons per cell
Raw total energy ... -2.9160 eV per atom
Energy of formation from the pure elements ... 7.09 kcal/mol of atoms
Space group ... P4/mmm (123)

a b c (Å): 5.9208 5.9208 5.4356
angles (deg): 90.00 90.00 90.00
Sites, in units of the cell vectors:
Rb: 0.0000 0.0000 0.0000
In: 0.5000 0.5000 0.5000
Bi: 0.0000 0.5000 0.5000
Bi: 0.5000 0.0000 0.5000
As: 0.5000 0.5000 0.0000

11.
First-principles (PBE-GGA) data for an optimized crystal structure of InBiAsRu2, as listed in Alexandria.

Crystal system ... tetragonal
Volume ... 135.8 Å³/cell
DOS at the Fermi energy ... 1.31 states/eV/atom
M_tot ... 2.97 Bohr magnetons per cell
Raw total energy ... -4.2341 eV per atom
Energy of formation from the pure elements ... 39.90 kcal/mol of atoms
Space group ... P4/mmm (123)

a b c (Å): 4.9558 4.9558 5.5286
angles (deg): 90.00 90.00 90.00
Sites, in units of the cell vectors:
In: 0.0000 0.0000 0.0000
Bi: 0.0000 0.0000 0.5000
As: 0.5000 0.5000 0.5000
Ru: 0.0000 0.5000 0.0000
Ru: 0.5000 0.0000 0.0000

12.
First-principles (PBE-GGA) data for an optimized crystal structure of InBiAs2Se, as listed in Alexandria.

Crystal system ... tetragonal
Polymorph energy (0 for the lowest one) ... 0 meV/atom
Volume ... 141.9 Å³/cell
DOS at the Fermi energy ... 0.97 states/eV/atom
M_tot ... 0.00 Bohr magnetons per cell
Raw total energy ... -3.2654 eV per atom
Raw formation energy ... 615 meV per atom
Space group ... P4/mmm (123)

a b c (Å): 5.2228 5.2228 5.2012
angles (deg): 90.00 90.00 90.00
Sites, in units of the cell vectors:
In: 0.0000 0.0000 0.0000
Bi: 0.5000 0.5000 0.5000
As: 0.0000 0.5000 0.0000
As: 0.5000 0.0000 0.0000
Se: 0.0000 0.0000 0.5000